1.
# MgSnC2

An optimized crystal structure of MgSnC2 (PBE-GGA, Alexandria via LeMat-Bulk).

abc: 5.2291 5.2291 6.0817
angles: 64.54 64.54 90.00
With the nearest neighbours (Å) after each atom.
Fractional coordinates of all 8 atoms:
C: 0.6354 0.1250 0.2500  2 Sn 2.18, 2 Mg 2.24
C: 0.1146 0.6250 0.2500  2 Sn 2.18, 2 Mg 2.24
C: 0.3750 0.3646 0.7500  2 Sn 2.18, 2 Mg 2.24
C: 0.8750 0.8854 0.7500  2 Sn 2.18, 2 Mg 2.24
Mg: 0.5000 0.5000 0.0000  4 C 2.24
Mg: 0.2500 0.7500 0.5000  4 C 2.24
Sn: 0.0000 0.0000 0.0000  4 C 2.18
Sn: 0.7500 0.2500 0.5000  4 C 2.18

The value obtained for the density is 4.20 Mg/m³. The value obtained for the energy above the most stable polymorph in this dataset is 0 meV per atom. The energy of formation from the pure elements comes out at 29.0 kcal/mol of atoms. As for the volume: 132.0 Å³ per cell.

---

2.
# MgSnC3

An optimized crystal structure of MgSnC3 (PBE-GGA, Alexandria via LeMat-Bulk).

abc: 4.3037 4.3037 4.3037
angles: 90.00 90.00 90.00
With the nearest neighbours (Å) after each atom.
Fractional coordinates of all 5 atoms:
C: 0.0000 0.5000 0.0000  2 Sn 2.15
C: 0.0000 0.0000 0.5000  2 Sn 2.15
C: 0.5000 0.0000 0.0000  2 Sn 2.15
Mg: 0.5000 0.5000 0.5000  12 C 3.04
Sn: 0.0000 0.0000 0.0000  6 C 2.15

The value obtained for the density is 3.73 Mg/m³. The value obtained for the energy above the most stable polymorph in this dataset is 0 meV per atom. The energy of formation from the pure elements comes out at 60.3 kcal/mol of atoms. As for the volume: 79.7 Å³ per cell.

---

Question: The highest density belongs to which entry?
Answer: MgSnC2

---

Question: What is the density in the first record?
Answer: 4.20 Mg/m³

---

Question: Number 2 is which compound?
Answer: MgSnC3